Below is crystalline CsSrF3 at its relaxed geometry, with properties calculated at the PBE-GGA level.

abc: 6.793 9.602 6.822
angles: 90.00 90.00 90.00
Positions (direct):
Cs (0.012, 0.250, 0.005)
Cs (0.488, 0.750, 0.505)
Cs (0.512, 0.250, 0.495)
Cs (0.988, 0.750, 0.995)
Sr (0.000, 0.000, 0.500)
Sr (0.000, 0.500, 0.500)
Sr (0.500, 0.000, 0.000)
Sr (0.500, 0.500, 0.000)
F (0.008, 0.750, 0.445)
F (0.234, 0.530, 0.766)
F (0.234, 0.970, 0.766)
F (0.266, 0.030, 0.266)
F (0.266, 0.470, 0.266)
F (0.492, 0.250, 0.945)
F (0.508, 0.750, 0.055)
F (0.734, 0.530, 0.734)
F (0.734, 0.970, 0.734)
F (0.766, 0.030, 0.234)
F (0.766, 0.470, 0.234)
F (0.992, 0.250, 0.555)

Uncorrected formation energy in eV per atom: -3.4331
Final energy in eV per atom: -5.063
Energy above the most stable polymorph in this dataset in eV per formula unit: 0.00